Computed, not measured: a geometry-optimized SrFe2Co structure at the PBE-GGA level of DFT.

Structure (CIF):
```
data_SrFe2Co
_cell_length_a 3.1859
_cell_length_b 3.1859
_cell_length_c 6.8941
_cell_angle_alpha 90.00
_cell_angle_beta 90.00
_cell_angle_gamma 90.00
_symmetry_space_group_name_H-M 'P 4 m m'
_symmetry_Int_Tables_number 99
_symmetry_space_group_name_Hall 'P 4 -2'
loop_
_atom_site_label
_atom_site_type_symbol
_atom_site_fract_x
_atom_site_fract_y
_atom_site_fract_z
Sr1 Sr 0.0000 0.0000 0.0000
Fe1 Fe 0.0000 0.0000 0.4906
Fe2 Fe 0.5000 0.5000 0.6557
Co1 Co 0.5000 0.5000 0.3297
```

## Properties
The formation energy from the elements is 0.462 eV per atom. The calculation puts the density at 6.1 Mg/m³.